# Tm3ZnHg2

A relaxed Tm3ZnHg2 crystal (PBE, the Alexandria database).

Summary:
Distance to the lowest polymorph of the same formula: 0.00 eV/f.u.
Space group: No. 123
Raw total energy: -2.98 eV/atom
ΔH_f (0 K): -9.99 kcal/mol of atoms

Cell lengths 3.6090, 3.6090, 10.9496 Å; angles 90.00, 90.00, 90.00 degrees
With the nearest neighbours (Å) after each atom.
Atoms (fractional coordinates):
Tm: 0.0000 0.0000 0.0000  8 Hg 3.18
Tm: 0.0000 0.0000 0.3443  4 Zn 3.07, 4 Hg 3.16, 1 Tm 3.41
Tm: 0.0000 0.0000 0.6557  4 Zn 3.07, 4 Hg 3.16, 1 Tm 3.41
Zn: 0.5000 0.5000 0.5000  8 Tm 3.07
Hg: 0.5000 0.5000 0.1738  8 Tm 3.16-3.18
Hg: 0.5000 0.5000 0.8262  8 Tm 3.16-3.18